(1)
A geometry-optimized Cr3RuO structure, computed with PBEsol.

Its density of states at the Fermi level is 5.869 states/eV/f.u. The value obtained for the total energy is -47.9 eV for the cell shown. As for the crystal system: cubic. The calculation puts the raw formation energy at -0.3446 eV per atom.

The space group is Pm-3m (No. 221) and the conventional cell measures 3.769, 3.769 and 3.769 Å, with angles of 90.00, 90.00 and 90.00 degrees. The distinct sites, in fractional coordinates, are Cr at (0.000, 0.000, 0.500), Ru at (0.500, 0.500, 0.500) and O at (0.000, 0.000, 0.000).

=====

(2)
A geometry-optimized CrTeRu2O structure, computed with PBEsol.

Its density of states at the Fermi level is 5.100 states/eV/f.u. The value obtained for the total energy is -38.0 eV for the cell shown. As for the crystal system: tetragonal. The calculation puts the raw formation energy at 0.2699 eV per atom.

The space group is P4/mmm (No. 123) and the conventional cell measures 4.653, 4.653 and 3.446 Å, with angles of 90.00, 90.00 and 90.00 degrees. The distinct sites, in fractional coordinates, are Cr at (0.000, 0.000, 0.000), Te at (0.500, 0.500, 0.500), Ru at (0.000, 0.500, 0.000) and O at (0.000, 0.000, 0.500).

=====

(3)
A geometry-optimized CrSO4 structure, computed with PBEsol.

Its density of states at the Fermi level is 1.694 states/eV/f.u. The value obtained for the total energy is -174.8 eV for the cell shown. As for the crystal system: orthorhombic. The calculation puts the raw formation energy at -1.3471 eV per atom.

The space group is Cmcm (No. 63) and the conventional cell measures 5.224, 7.975 and 6.717 Å, with angles of 90.00, 90.00 and 90.00 degrees. The distinct sites, in fractional coordinates, are Cr at (0.000, 0.000, 0.000), S at (0.000, 0.348, 0.250), O at (0.000, 0.246, 0.067) and O at (0.235, 0.458, 0.250).

=====

(4)
A geometry-optimized Cr2SO structure, computed with PBEsol.

Its density of states at the Fermi level is 3.766 states/eV/f.u. The value obtained for the total energy is -131.9 eV for the cell shown. As for the crystal system: tetragonal. The calculation puts the raw formation energy at -0.7131 eV per atom.

The space group is I-42d (No. 122) and the conventional cell measures 4.643, 4.643 and 9.748 Å, with angles of 90.00, 90.00 and 90.00 degrees. The distinct sites, in fractional coordinates, are Cr at (0.183, 0.750, 0.125), S at (0.000, 0.000, 0.500) and O at (0.000, 0.000, 0.000).